No. 1
A geometry-optimized ReTc3Ni structure, computed with GGA-PBE.

Magnetic moment   0.00 μB/atom
Energy relative to the lowest polymorph listed for this composition   357 meV/atom
Formation energy   1964 meV/atom

Cell: 4.6492 4.6492 4.6492 Å, 90.00 90.00 90.00°
With the nearest neighbours (Å) after each atom.
Space group Pm-3m (No. 221)
Asymmetric unit:
Re 0.0000 0.0000 0.0000 x1  6 Tc 2.32
Tc 0.0000 0.0000 0.5000 x3  2 Re 2.32
Ni 0.5000 0.5000 0.5000 x1  12 Tc 3.29



No. 2
A geometry-optimized Tb3Dy2Sc7 structure, computed with GGA-PBE.

Magnetic moment   0.12 μB/atom
Formation energy   261 meV/atom

Cell: 3.5125 5.2844 18.9797 Å, 90.00 95.31 90.00°
With the nearest neighbours (Å) after each atom.
Space group P2/m (No. 10)
Asymmetric unit:
Tb 0.0000 0.0000 0.0000 x1  8 Sc 3.09-3.17
Tb 0.3269 0.5000 0.6540 x2  4 Dy 3.46, 2 Tb 3.51, 4 Sc 3.57
Dy 0.1368 0.0000 0.2731 x2  5 Sc 3.02-3.38
Sc 0.0810 0.5000 0.1619 x2  8 Sc 3.21-3.53, 2 Dy 3.38
Sc 0.2165 0.0000 0.4331 x2  1 Dy 3.02, 2 Sc 3.08
Sc 0.4326 0.0000 0.8657 x2  2 Tb 3.09, 2 Dy 3.16, 4 Sc 3.21-3.22
Sc 0.5000 0.5000 0.0000 x1  4 Tb 3.17, 6 Sc 3.51-3.53



No. 3
A geometry-optimized Tb4CeEr10 structure, computed with GGA-PBE.

Magnetic moment   0.07 μB/atom
Formation energy   467 meV/atom

Cell: 9.7175 9.7175 10.5233 Å, 90.00 90.00 90.00°
With the nearest neighbours (Å) after each atom.
Space group I4/m (No. 87)
Asymmetric unit:
Tb 0.0502 0.7197 0.0000 x8  6 Er 3.42-3.63
Ce 0.0000 0.0000 0.5000 x2  8 Er 2.98
Er 0.0000 0.5000 0.2500 x4  4 Er 3.16, 4 Tb 3.42
Er 0.1239 0.7868 0.3318 x16  1 Ce 2.98, 2 Er 3.08-3.16